Computed, not measured: a relaxed structure of ScNiH2 at the PBE level of DFT.

The structure in POSCAR format:
```
ScNiH2
1.0
4.041 0.000 0.000
0.000 4.041 0.000
2.021 2.021 4.659
Sc Ni H
2 2 4
Cartesian
2.021 2.021 0.000
2.021 4.041 2.330
0.000 0.000 0.000
4.041 2.021 2.330
3.416 1.010 1.165
0.625 3.031 1.165
3.031 2.646 3.495
5.051 5.436 3.495
```

Computed, not measured: a relaxed structure of LaPr4Er2Sc at the PBE level of DFT.

Summary:
Energy relative to the elements: 31.0 meV/atom

The structure in POSCAR format:
```
LaPr4Er2Sc
1.0
5.128 0.000 0.000
0.000 11.255 -1.530
0.000 2.888 4.214
La Pr Er Sc
1 4 2 1
Cartesian
2.564 8.516 3.448
0.000 10.609 2.011
5.128 3.534 0.673
2.564 9.169 -0.100
2.564 4.974 2.783
0.000 2.888 4.214
2.564 1.444 2.107
0.000 7.072 1.342
```

Computed, not measured: a relaxed structure of Ac2CuTeO6 at the PBE level of DFT.

Summary:
Uncorrected formation energy: -1.952 eV/atom

The structure in POSCAR format:
```
Ac2CuTeO6
1.0
4.916 0.000 0.000
0.000 5.636 0.000
0.000 0.000 5.636
Ac Cu Te O
2 1 1 6
Cartesian
0.234 2.818 0.000
0.234 0.000 2.818
2.941 2.818 2.818
3.134 0.000 0.000
3.530 1.427 1.427
3.530 1.427 4.209
0.911 2.818 2.818
0.285 0.000 0.000
3.530 4.209 4.209
3.530 4.209 1.427
```

Computed, not measured: a relaxed structure of Ba2SnCl at the PBE level of DFT.

Summary:
Uncorrected formation energy: -0.974 eV/atom

The structure in POSCAR format:
```
Ba2SnCl
1.0
-4.472 4.839 3.007
-5.693 -3.940 -2.127
-4.845 -3.630 7.361
Cl Ba Sn
2 4 2
Cartesian
-5.083 0.450 0.440
-7.810 -3.560 2.837
-4.595 1.492 3.371
-5.451 -2.632 0.969
-7.601 -2.493 5.792
-12.372 -1.828 6.348
0.000 0.000 0.000
-7.200 0.829 5.404
```

Computed, not measured: a relaxed structure of YTlCl2 at the PBE level of DFT.

Summary:
Uncorrected formation energy: -1.297 eV/atom

The structure in POSCAR format:
```
YTlCl2
1.0
-0.594 -5.991 2.417
2.894 -5.442 2.022
0.816 -0.825 6.063
Y Tl Cl
1 1 2
Cartesian
0.779 -3.065 2.626
2.337 -9.194 7.877
2.205 -10.756 4.542
1.653 -6.806 5.148
```

Computed, not measured: a relaxed structure of SmAl20Cr2 at the PBE level of DFT.

Summary:
Energy relative to the elements: -150.3 meV/atom

The structure in POSCAR format:
```
SmAl20Cr2
1.0
10.217 0.000 0.000
5.109 8.848 0.000
5.109 2.949 8.342
Sm Al Cr
2 40 4
Cartesian
10.217 5.899 4.171
15.326 8.848 6.257
13.928 8.042 1.141
6.506 3.756 7.201
13.928 3.756 7.201
6.506 8.042 1.141
10.217 10.184 7.201
10.217 1.613 1.141
6.506 3.756 0.945
3.711 2.143 3.226
6.506 2.143 3.226
3.711 3.756 0.945
5.109 4.563 3.226
5.109 1.336 0.945
8.850 3.520 2.489
10.217 7.488 6.969
10.217 9.067 4.737
11.584 3.520 2.489
7.474 4.315 4.737
11.594 8.272 2.489
12.961 5.905 2.489
8.840 5.104 6.969
7.474 5.905 2.489
12.961 4.315 4.737
11.594 5.104 6.969
8.840 8.272 2.489
16.692 11.227 7.939
15.326 7.259 3.459
15.326 5.680 5.691
13.959 11.227 7.939
18.069 10.432 5.691
13.949 6.475 7.939
12.582 8.843 7.939
16.702 9.643 3.459
18.069 8.843 7.939
12.582 10.432 5.691
13.949 9.643 3.459
16.702 6.475 7.939
7.663 7.374 5.214
10.217 2.949 5.214
10.217 5.899 1.043
12.771 7.374 5.214
7.663 1.475 1.043
5.109 5.899 1.043
5.109 2.949 5.214
2.554 1.475 1.043
```

Computed, not measured: a relaxed structure of Pa3Te2C at the PBE level of DFT.

Summary:
Uncorrected formation energy: -0.423 eV/atom

The structure in POSCAR format:
```
Pa3Te2C
1.0
6.737 0.121 0.208
-1.372 7.021 0.030
-1.372 -3.454 6.112
Pa Te C
6 4 2
Cartesian
-0.865 0.483 2.418
2.503 1.921 1.722
-0.686 3.510 0.015
4.858 3.204 3.931
2.683 -1.667 3.160
1.490 1.766 4.628
0.312 6.272 0.534
0.312 -1.091 4.809
3.681 -2.585 5.816
3.681 4.778 1.540
0.312 2.763 2.571
3.681 0.923 3.778
```

Computed, not measured: a relaxed structure of ZnP4Ir3 at the PBE level of DFT.

Summary:
Energy relative to the elements: -77.5 meV/atom

The structure in POSCAR format:
```
ZnP4Ir3
1.0
3.414 0.000 0.000
0.000 3.171 0.000
0.000 0.000 22.600
P Zn Ir
8 2 6
Cartesian
0.000 1.586 9.604
0.000 1.586 12.996
0.000 0.000 6.967
0.000 0.000 15.633
1.707 1.586 20.935
1.707 1.586 1.665
1.707 0.000 18.152
1.707 0.000 4.448
0.000 0.000 0.000
1.707 0.000 11.300
0.000 0.000 2.729
0.000 0.000 19.871
0.000 1.586 5.200
0.000 1.586 17.400
1.707 0.000 13.986
1.707 0.000 8.614
```

Computed, not measured: a relaxed structure of Ac3La2Tm3 at the PBE level of DFT.

Summary:
Energy relative to the elements: 195.2 meV/atom

The structure in POSCAR format:
```
Ac3La2Tm3
1.0
6.785 0.000 0.000
0.000 8.831 5.098
0.000 0.001 10.196
Ac La Tm
6 4 6
Cartesian
5.089 8.831 7.465
5.089 2.051 9.013
5.089 6.780 3.914
1.696 0.000 7.829
1.696 6.781 6.281
1.696 2.050 1.183
0.000 2.944 5.098
3.393 5.887 10.196
0.000 5.887 10.196
3.393 2.944 5.098
5.089 8.831 11.089
5.089 5.189 7.200
5.089 3.641 2.102
1.696 0.000 4.205
1.696 3.642 8.094
1.696 5.189 2.996
```

Computed, not measured: a relaxed structure of DyY6S8 at the PBE level of DFT.

Summary:
Uncorrected formation energy: -2.055 eV/atom

The structure in POSCAR format:
```
DyY6S8
1.0
-3.441 -0.818 6.972
-4.718 -6.088 1.341
2.267 -5.713 4.832
Dy Y S
1 6 8
Cartesian
0.000 0.000 0.000
-1.226 -5.900 3.086
-1.720 -0.409 3.486
-4.080 -3.453 4.157
1.133 -2.856 2.416
-2.359 -3.044 0.670
-0.587 -3.265 5.902
-4.419 -9.464 9.859
-1.473 -3.155 3.286
-3.193 -3.566 6.772
-2.699 -9.052 6.373
-0.342 -6.011 5.703
-5.550 -6.607 7.442
-2.061 -6.420 9.186
-3.831 -6.199 3.959
```

Computed, not measured: a relaxed structure of Ac3ScGe6 at the PBE level of DFT.

Summary:
Energy relative to the elements: -598.3 meV/atom

The structure in POSCAR format:
```
Ac3ScGe6
1.0
-4.442 0.506 6.759
3.810 -6.955 1.665
5.929 5.085 2.157
Ac Sc Ge
6 2 12
Cartesian
3.923 -3.513 3.170
3.737 2.701 4.064
6.336 -0.471 4.589
-1.039 -0.894 5.992
1.560 -4.065 6.516
1.374 2.148 7.411
0.000 0.000 0.000
2.649 -0.682 5.290
4.177 1.076 9.295
2.470 1.257 1.087
3.833 -0.325 2.583
-1.029 0.523 2.744
0.782 -2.485 3.832
4.527 -2.788 6.239
0.770 1.423 4.342
4.515 1.120 6.749
6.326 -1.888 7.837
1.464 -1.039 7.998
2.827 -2.622 9.494
1.120 -2.440 1.285
```

Computed, not measured: a relaxed structure of AcPmCu2Se4 at the PBE level of DFT.

Summary:
Uncorrected formation energy: -1.154 eV/atom

The structure in POSCAR format:
```
AcPmCu2Se4
1.0
6.916 0.000 0.000
3.458 5.480 0.084
3.458 0.533 5.455
Ac Pm Cu Se
1 1 2 4
Cartesian
0.000 0.000 0.000
6.916 3.006 2.769
3.458 2.070 1.907
10.374 3.943 3.632
5.172 0.731 2.767
5.172 5.282 2.772
8.660 2.818 0.502
8.660 3.195 5.037
```

no.,raw total energy (eV for the cell shown)
1,-40.16
2,-39.25
3,-64.72
4,-27.18
5,-17.71
6,-204.55
7,-93.06
8,-100.23
9,-68.07
10,-107.23
11,-104.69
12,-40.22